Density functional theory data (PBE) for a relaxed structure of SrMnAs2Os.

Cell lengths 4.774, 5.914, 4.774 Å; angles 90.00, 90.00, 90.00 degrees
Element x y z (fractional)
As 0.000 0.000 0.500
As 0.500 0.000 0.000
Sr 0.000 0.500 0.000
Mn 0.500 0.500 0.500
Os 0.000 0.000 0.000

Values from the calculation:
**Energy of formation**: 0.58 eV per atom
**DOS at the Fermi energy**: 3.71 states/eV per cell

=====

Density functional theory data (PBE) for a relaxed structure of TePdSe3.

Cell lengths 7.098, 9.613, 6.773 Å; angles 140.97, 89.92, 93.26 degrees
Element x y z (fractional)
Pd 0.000 0.000 0.000
Pd 0.500 0.000 0.000
Se 0.232 0.893 0.128
Se 0.638 0.628 0.632
Se 0.235 0.871 0.623
Se 0.765 0.129 0.377
Se 0.362 0.372 0.368
Se 0.768 0.107 0.872
Te 0.268 0.203 0.747
Te 0.732 0.797 0.253

Values from the calculation:
**E_form (uncorrected)**: -0.122 eV/atom
**DOS at the Fermi energy**: 2.29 states/eV per cell
**Relative energy among the computed polymorphs**: 0 meV/atom

=====

Density functional theory data (PBE) for a relaxed structure of YZr2Ta2.

Cell lengths 8.045, 8.045, 3.588 Å; angles 90.00, 90.00, 90.00 degrees
Element x y z (fractional)
Y 0.500 0.500 0.000
Y 0.000 0.000 0.000
Zr 0.169 0.669 0.500
Zr 0.831 0.331 0.500
Zr 0.331 0.169 0.500
Zr 0.669 0.831 0.500
Ta 0.120 0.380 0.000
Ta 0.380 0.880 0.000
Ta 0.880 0.620 0.000
Ta 0.620 0.120 0.000

Values from the calculation:
**Energy of formation**: 0.25 eV per atom
**DOS at the Fermi energy**: 9.61 states/eV per cell

=====

Density functional theory data (PBE) for a relaxed structure of CeH3Pd6.

Cell lengths 5.448, 7.270, 5.498 Å; angles 115.22, 94.98, 129.68 degrees
Element x y z (fractional)
H 0.347 0.675 0.939
H 0.959 0.539 0.264
H 0.178 0.165 0.336
Pd 0.168 0.897 0.310
Pd 0.473 0.488 0.780
Pd 0.428 0.273 0.131
Pd 0.806 0.113 0.207
Pd 0.119 0.702 0.676
Pd 0.854 0.329 0.844
Ce 0.668 0.820 0.513

Values from the calculation:
**Final energy**: -5.08 eV/atom
**DOS at the Fermi energy**: 4.92 states/eV per cell

=====

Density functional theory data (PBE) for a relaxed structure of KCrHN2.

Cell lengths 3.660, 7.795, 3.660 Å; angles 90.00, 90.00, 90.00 degrees
Element x y z (fractional)
N 0.000 0.000 0.500
N 0.500 0.000 0.000
K 0.000 0.500 0.000
Cr 0.000 0.000 0.000
H 0.500 0.500 0.500

Values from the calculation:
**Final energy**: -5.59 eV/atom
**DOS at the Fermi energy**: 1.85 states/eV per cell

=====

Density functional theory data (PBE) for a relaxed structure of NaGe3C.

Cell lengths 4.508, 4.508, 4.508 Å; angles 90.00, 90.00, 90.00 degrees
Element x y z (fractional)
Ge 0.000 0.500 0.000
Ge 0.500 0.000 0.000
Ge 0.000 0.000 0.500
Na 0.500 0.500 0.500
C 0.000 0.000 0.000

Values from the calculation:
**Energy of formation**: 0.89 eV per atom
**DOS at the Fermi energy**: 3.27 states/eV per cell
**Relative energy among the computed polymorphs**: 0 meV/atom

=====

Density functional theory data (PBE) for a relaxed structure of Mg2GaHg2.

Cell lengths 8.225, 8.225, 3.277 Å; angles 90.00, 90.00, 90.00 degrees
Element x y z (fractional)
Mg 0.663 0.837 0.500
Mg 0.163 0.663 0.500
Mg 0.837 0.337 0.500
Mg 0.337 0.163 0.500
Ga 0.500 0.500 0.000
Ga 0.000 0.000 0.000
Hg 0.362 0.862 0.000
Hg 0.638 0.138 0.000
Hg 0.862 0.638 0.000
Hg 0.138 0.362 0.000

Values from the calculation:
**Energy of formation**: -0.09 eV per atom
**DOS at the Fermi energy**: 4.00 states/eV per cell
**Relative energy among the computed polymorphs**: 28 meV/atom

=====

Density functional theory data (PBE) for a relaxed structure of UCoRu.

Cell lengths 6.375, 5.931, 5.916 Å; angles 70.19, 79.27, 101.63 degrees
Element x y z (fractional)
Co 0.258 0.817 0.659
Co 0.307 0.209 0.237
Co 0.215 0.053 0.924
Co 0.655 0.570 0.177
Ru 0.245 0.492 0.451
Ru 0.859 0.530 0.752
Ru 0.892 0.955 0.312
Ru 0.597 0.170 0.597
U 0.916 0.063 0.769
U 0.563 0.016 0.165
U 0.006 0.532 0.186
U 0.497 0.593 0.769

Values from the calculation:
**Energy of formation**: -0.14 eV per atom
**DOS at the Fermi energy**: 13.65 states/eV per cell
**Relative energy among the computed polymorphs**: 0 meV/atom